Here is a geometry-optimized Sr4NiP structure from Alexandria via LeMat-Bulk. Energies are from GGA-PBE.

Its crystal system is cubic. The calculation puts the formation energy at 4.9 eV per formula unit.

Lattice parameters (Å, degrees): 6.656 6.656 6.656 60.00 60.00 60.00
Fractional positions:
Sr (0.125, 0.125, 0.125)
Sr (0.125, 0.125, 0.624)
Sr (0.125, 0.624, 0.125)
Sr (0.624, 0.125, 0.125)
Ni (0.750, 0.750, 0.750)
P (0.500, 0.500, 0.500)


Here is a geometry-optimized MgPSeN2 structure from Alexandria via LeMat-Bulk. Energies are from GGA-PBE.

Its crystal system is tetragonal. The calculation puts the uncorrected formation energy at 731 kJ/mol of formula units.

Lattice parameters (Å, degrees): 4.039 4.039 5.562 90.00 90.00 90.00
Fractional positions:
Mg (0.000, 0.000, 0.000)
P (0.500, 0.500, 0.500)
Se (0.000, 0.000, 0.500)
N (0.000, 0.500, 0.000)
N (0.500, 0.000, 0.000)


Here is a geometry-optimized Cs2NiAgN structure from Alexandria via LeMat-Bulk. Energies are from GGA-PBE.

Its crystal system is tetragonal. The calculation puts the uncorrected formation energy at 51 kJ/mol of formula units.

Lattice parameters (Å, degrees): 6.655 6.655 3.488 90.00 90.00 90.00
Fractional positions:
Cs (0.000, 0.500, 0.000)
Cs (0.500, 0.000, 0.000)
Ni (0.000, 0.000, 0.500)
Ag (0.500, 0.500, 0.500)
N (0.000, 0.000, 0.000)


Here is a geometry-optimized LuPuInCu structure from Alexandria via LeMat-Bulk. Energies are from GGA-PBE.

Its crystal system is cubic. The calculation puts the formation energy at -0.3 eV per formula unit.

Lattice parameters (Å, degrees): 7.252 7.252 7.252 90.00 90.00 90.00
Fractional positions:
Lu (0.000, 0.000, 0.000)
Lu (0.000, 0.500, 0.500)
Lu (0.500, 0.000, 0.500)
Lu (0.500, 0.500, 0.000)
Pu (0.000, 0.000, 0.500)
Pu (0.000, 0.500, 0.000)
Pu (0.500, 0.000, 0.000)
Pu (0.500, 0.500, 0.500)
In (0.250, 0.250, 0.750)
In (0.250, 0.750, 0.250)
In (0.750, 0.250, 0.250)
In (0.750, 0.750, 0.750)
Cu (0.250, 0.250, 0.250)
Cu (0.250, 0.750, 0.750)
Cu (0.750, 0.250, 0.750)
Cu (0.750, 0.750, 0.250)


Here is a geometry-optimized Dy8Si3HgTe4 structure from Alexandria via LeMat-Bulk. Energies are from GGA-PBE.

Its crystal system is trigonal. The calculation puts the uncorrected formation energy at -1571 kJ/mol of formula units.

Lattice parameters (Å, degrees): 8.634 8.634 8.634 58.77 58.77 58.77
Fractional positions:
Dy (0.229, 0.750, 0.750)
Dy (0.239, 0.239, 0.239)
Dy (0.250, 0.250, 0.771)
Dy (0.250, 0.771, 0.250)
Dy (0.750, 0.229, 0.750)
Dy (0.750, 0.750, 0.229)
Dy (0.761, 0.761, 0.761)
Dy (0.771, 0.250, 0.250)
Si (0.000, 0.000, 0.500)
Si (0.000, 0.500, 0.000)
Si (0.500, 0.000, 0.000)
Hg (0.500, 0.500, 0.500)
Te (0.000, 0.000, 0.000)
Te (0.000, 0.500, 0.500)
Te (0.500, 0.000, 0.500)
Te (0.500, 0.500, 0.000)


Here is a geometry-optimized KHgTeI2 structure from Alexandria via LeMat-Bulk. Energies are from GGA-PBE.

Its crystal system is tetragonal. The calculation puts the uncorrected formation energy at 46 kJ/mol of formula units.

Lattice parameters (Å, degrees): 6.639 6.639 6.992 90.00 90.00 90.00
Fractional positions:
K (0.000, 0.000, 0.000)
Hg (0.500, 0.500, 0.500)
Te (0.000, 0.000, 0.500)
I (0.000, 0.500, 0.000)
I (0.500, 0.000, 0.000)


Here is a geometry-optimized Ta2CdRh structure from Alexandria via LeMat-Bulk. Energies are from GGA-PBE.

Its crystal system is tetragonal. The calculation puts the formation energy at -0.3 eV per formula unit.

Lattice parameters (Å, degrees): 2.890 2.890 8.399 90.00 90.00 90.00
Fractional positions:
Ta (0.000, 0.000, 0.224)
Ta (0.000, 0.000, 0.776)
Cd (0.500, 0.500, 0.500)
Rh (0.500, 0.500, 0.000)


Here is a geometry-optimized Hf2TiVN structure from Alexandria via LeMat-Bulk. Energies are from GGA-PBE.

Its crystal system is tetragonal. The calculation puts the uncorrected formation energy at -310 kJ/mol of formula units.

Lattice parameters (Å, degrees): 4.433 4.433 4.066 90.00 90.00 90.00
Fractional positions:
Hf (0.000, 0.500, 0.000)
Hf (0.500, 0.000, 0.000)
Ti (0.000, 0.000, 0.500)
V (0.500, 0.500, 0.500)
N (0.000, 0.000, 0.000)